A relaxed CrReSe2 crystal. Source: the Alexandria database, functional PBE.

Unit cell a=3.247 b=3.247 c=7.900 alpha=90.00 beta=90.00 gamma=121.46
Positions (direct):
Cr  0.500  0.500  0.250
Se  0.000  0.000  0.000
Se  0.000  0.000  0.500
Re  0.500  0.500  0.750

The calculation puts the total DFT energy (no corrections) at -26.2 eV for the cell shown. As for the formation energy from raw total energies: 2.8 eV/f.u.

A relaxed CrReSe crystal. Source: the Alexandria database, functional PBE.

Unit cell a=2.898 b=2.898 c=6.085 alpha=90.00 beta=90.00 gamma=120.00
Positions (direct):
Se  0.333  0.667  0.691
Re  0.667  0.333  0.308
Cr  0.000  0.000  0.000

The calculation puts the total DFT energy (no corrections) at -24.5 eV for the cell shown. As for the formation energy from raw total energies: 1.1 eV/f.u.

A relaxed CrRe3Se crystal. Source: the Alexandria database, functional PBE.

Unit cell a=4.524 b=4.524 c=4.524 alpha=90.00 beta=90.00 gamma=90.00
Positions (direct):
Re  0.500  0.000  0.000
Cr  0.500  0.500  0.500
Se  0.000  0.000  0.000
Re  0.000  0.500  0.000
Re  0.000  0.000  0.500

The calculation puts the total DFT energy (no corrections) at -41.6 eV for the cell shown. As for the formation energy from raw total energies: 8.9 eV/f.u.

A relaxed CrReSe2 crystal. Source: the Alexandria database, functional PBE.

Unit cell a=8.344 b=8.344 c=8.344 alpha=20.88 beta=20.88 gamma=20.88
Positions (direct):
Se  0.901  0.901  0.901
Re  0.000  0.000  0.000
Se  0.099  0.099  0.099
Cr  0.500  0.500  0.500

The calculation puts the total DFT energy (no corrections) at -27.9 eV for the cell shown. As for the formation energy from raw total energies: 1.2 eV/f.u.

A relaxed CrReSe2 crystal. Source: the Alexandria database, functional PBE.

Unit cell a=7.829 b=7.829 c=7.829 alpha=22.34 beta=22.34 gamma=22.34
Positions (direct):
Se  0.997  0.997  0.997
Se  0.503  0.503  0.503
Re  0.750  0.750  0.750
Cr  0.250  0.250  0.250

The calculation puts the total DFT energy (no corrections) at -27.4 eV for the cell shown. As for the formation energy from raw total energies: 1.6 eV/f.u.

A relaxed CrReSe2 crystal. Source: the Alexandria database, functional PBE.

Unit cell a=3.710 b=3.715 c=6.513 alpha=89.63 beta=90.00 gamma=90.00
Positions (direct):
Se  0.500  0.378  0.368
Cr  0.000  0.375  0.625
Se  0.000  0.872  0.882
Re  0.500  0.875  0.625

The calculation puts the total DFT energy (no corrections) at -29.4 eV for the cell shown. As for the formation energy from raw total energies: -0.4 eV/f.u.

A relaxed CrReSe2 crystal. Source: the Alexandria database, functional PBE.

Unit cell a=4.527 b=4.527 c=4.527 alpha=60.00 beta=60.00 gamma=60.00
Positions (direct):
Re  0.250  0.250  0.250
Cr  0.500  0.500  0.500
Se  0.750  0.750  0.750
Se  0.000  0.000  0.000

The calculation puts the total DFT energy (no corrections) at -25.5 eV for the cell shown. As for the formation energy from raw total energies: 3.5 eV/f.u.

A relaxed CrReSe2 crystal. Source: the Alexandria database, functional PBE.

Unit cell a=4.938 b=4.974 c=3.506 alpha=71.66 beta=85.63 gamma=118.01
Positions (direct):
Re  0.500  0.500  0.000
Cr  0.000  0.500  0.500
Se  0.500  0.000  0.500
Se  0.000  0.000  0.000

The calculation puts the total DFT energy (no corrections) at -26.2 eV for the cell shown. As for the formation energy from raw total energies: 2.8 eV/f.u.

A relaxed CrReSe2 crystal. Source: the Alexandria database, functional PBE.

Unit cell a=4.577 b=4.577 c=4.935 alpha=78.02 beta=78.02 gamma=41.09
Positions (direct):
Re  0.266  0.266  0.224
Se  0.757  0.757  0.628
Cr  0.483  0.483  0.596
Se  0.995  0.995  0.052

The calculation puts the total DFT energy (no corrections) at -28.1 eV for the cell shown. As for the formation energy from raw total energies: 1.0 eV/f.u.

A relaxed CrReSe2 crystal. Source: the Alexandria database, functional PBE.

Unit cell a=4.061 b=3.476 c=5.031 alpha=88.37 beta=90.00 gamma=90.00
Positions (direct):
Cr  0.500  0.250  0.250
Se  0.000  0.570  0.491
Re  0.500  0.750  0.750
Se  0.000  0.930  0.009

The calculation puts the total DFT energy (no corrections) at -26.7 eV for the cell shown. As for the formation energy from raw total energies: 2.4 eV/f.u.

A relaxed Cr2ReSiSe crystal. Source: the Alexandria database, functional PBE.

Unit cell a=4.313 b=4.492 c=4.313 alpha=90.00 beta=90.00 gamma=90.00
Positions (direct):
Se  0.500  0.500  0.500
Si  0.000  0.000  0.000
Cr  0.500  0.000  0.000
Cr  0.000  0.000  0.500
Re  0.000  0.500  0.000

The calculation puts the total DFT energy (no corrections) at -34.3 eV for the cell shown. As for the formation energy from raw total energies: 6.4 eV/f.u.

A relaxed CrReSnSe2 crystal. Source: the Alexandria database, functional PBE.

Unit cell a=5.239 b=4.937 c=5.239 alpha=90.00 beta=90.00 gamma=90.00
Positions (direct):
Cr  0.000  0.500  0.000
Re  0.500  0.500  0.500
Se  0.000  0.000  0.500
Se  0.500  0.000  0.000
Sn  0.000  0.000  0.000

The calculation puts the total DFT energy (no corrections) at -22.3 eV for the cell shown. As for the formation energy from raw total energies: 10.7 eV/f.u.

A relaxed CrReTeSe2 crystal. Source: the Alexandria database, functional PBE.

Unit cell a=4.807 b=4.887 c=4.807 alpha=90.00 beta=90.00 gamma=90.00
Positions (direct):
Se  0.500  0.000  0.000
Te  0.500  0.500  0.500
Re  0.000  0.000  0.000
Se  0.000  0.000  0.500
Cr  0.000  0.500  0.000

The calculation puts the total DFT energy (no corrections) at -27.5 eV for the cell shown. As for the formation energy from raw total energies: 4.7 eV/f.u.

A relaxed Cr2ReSi crystal. Source: the Alexandria database, functional PBE.

Unit cell a=4.033 b=2.644 c=4.874 alpha=76.35 beta=90.00 gamma=90.00
Positions (direct):
Cr  0.500  0.219  0.240
Si  0.500  0.786  0.760
Cr  0.000  0.019  0.998
Re  0.000  0.477  0.502

The calculation puts the total DFT energy (no corrections) at -37.3 eV for the cell shown. As for the formation energy from raw total energies: -0.2 eV/f.u.

A relaxed Cr2ReSi crystal. Source: the Alexandria database, functional PBE.

Unit cell a=4.581 b=4.581 c=4.581 alpha=132.53 beta=132.53 gamma=69.39
Positions (direct):
Si  0.750  0.250  0.500
Cr  0.000  0.000  0.000
Re  0.500  0.500  0.000
Cr  0.250  0.750  0.500

The calculation puts the total DFT energy (no corrections) at -37.3 eV for the cell shown. As for the formation energy from raw total energies: -0.1 eV/f.u.

A relaxed Cr2ReSi crystal. Source: the Alexandria database, functional PBE.

Unit cell a=8.375 b=8.375 c=8.375 alpha=18.54 beta=18.54 gamma=18.54
Positions (direct):
Cr  0.497  0.497  0.497
Si  0.750  0.750  0.750
Cr  0.003  0.003  0.003
Re  0.250  0.250  0.250

The calculation puts the total DFT energy (no corrections) at -36.8 eV for the cell shown. As for the formation energy from raw total energies: 0.4 eV/f.u.

A relaxed CrReSi2 crystal. Source: the Alexandria database, functional PBE.

Unit cell a=4.543 b=4.543 c=4.278 alpha=73.86 beta=73.86 gamma=37.68
Positions (direct):
Si  0.999  0.999  0.037
Cr  0.496  0.496  0.552
Si  0.753  0.753  0.707
Re  0.252  0.252  0.203

The calculation puts the total DFT energy (no corrections) at -33.7 eV for the cell shown. As for the formation energy from raw total energies: -0.8 eV/f.u.

A relaxed Cr2ReSi crystal. Source: the Alexandria database, functional PBE.

Unit cell a=4.879 b=4.879 c=4.879 alpha=144.26 beta=131.87 gamma=61.37
Positions (direct):
Cr  0.500  0.500  0.000
Cr  0.000  0.000  0.000
Si  0.250  0.750  0.500
Re  0.750  0.250  0.500

The calculation puts the total DFT energy (no corrections) at -37.8 eV for the cell shown. As for the formation energy from raw total energies: -0.7 eV/f.u.

A relaxed CrReSi crystal. Source: the Alexandria database, functional PBE.

Unit cell a=3.979 b=3.979 c=3.979 alpha=60.00 beta=60.00 gamma=60.00
Positions (direct):
Re  0.000  0.000  0.000
Cr  0.750  0.750  0.750
Si  0.500  0.500  0.500

The calculation puts the total DFT energy (no corrections) at -27.3 eV for the cell shown. As for the formation energy from raw total energies: 0.2 eV/f.u.

A relaxed CrRe2Si4 crystal. Source: the Alexandria database, functional PBE.

Unit cell a=4.315 b=4.315 c=6.812 alpha=71.54 beta=71.54 gamma=90.00
Positions (direct):
Cr  0.000  0.000  0.000
Si  0.805  0.805  0.390
Re  0.390  0.390  0.219
Re  0.610  0.610  0.781
Si  0.195  0.195  0.610
Si  0.000  0.500  0.000
Si  0.500  0.000  0.000

The calculation puts the total DFT energy (no corrections) at -51.2 eV for the cell shown. As for the formation energy from raw total energies: 5.0 eV/f.u.